Entry 1:
A geometry-optimized BaLi2Ta structure. Source: Alexandria via LeMat-Bulk, functional PBE.

Total magnetic moment ... 0.88 μB/cell
Polymorph energy (0 for the lowest one) ... 118 meV per atom
Raw total energy ... -14.5 eV for the cell shown
Formation energy ... 0.78 eV per atom

Unit cell a=3.042 b=4.576 c=7.429 alpha=90.00 beta=101.79 gamma=90.00
Space group Pm (No. 6)
Unique sites:
Ba 0.000 0.000 0.000 [1 per cell]
Li 0.658 0.500 0.329 [1 per cell]
Li 0.771 0.000 0.529 [1 per cell]
Ta 0.344 0.500 0.685 [1 per cell]


Entry 2:
A geometry-optimized BaLi2Ta structure. Source: Alexandria via LeMat-Bulk, functional PBE.

Total magnetic moment ... 0.00 μB/cell
Polymorph energy (0 for the lowest one) ... 145 meV per atom
Raw total energy ... -28.7 eV for the cell shown
Formation energy ... 0.81 eV per atom

Unit cell a=6.509 b=9.476 c=2.973 alpha=90.00 beta=90.00 gamma=90.00
Space group Cmmm (No. 65)
Unique sites:
Ba 0.000 0.000 0.000 [2 per cell]
Li 0.250 0.250 0.500 [4 per cell]
Ta 0.000 0.500 0.000 [2 per cell]


Entry 3:
A geometry-optimized BaLiTa structure. Source: Alexandria via LeMat-Bulk, functional PBE.

Total magnetic moment ... 0.00 μB/cell
Polymorph energy (0 for the lowest one) ... 246 meV per atom
Raw total energy ... -54.7 eV for the cell shown
Formation energy ... 0.67 eV per atom

Unit cell a=7.056 b=4.783 c=10.416 alpha=90.00 beta=90.00 gamma=90.00
Space group Pnma (No. 62)
Unique sites:
Ba 0.121 0.250 0.151 [4 per cell]
Li 0.236 0.250 0.834 [4 per cell]
Ta 0.061 0.250 0.511 [4 per cell]


Entry 4:
A geometry-optimized BaLi2Ta structure. Source: Alexandria via LeMat-Bulk, functional PBE.

Total magnetic moment ... 10.27 μB/cell
Polymorph energy (0 for the lowest one) ... 300 meV per atom
Raw total energy ... -55.0 eV for the cell shown
Formation energy ... 0.96 eV per atom

Unit cell a=7.439 b=7.439 c=7.439 alpha=90.00 beta=90.00 gamma=90.00
Space group Fm-3m (No. 225)
Unique sites:
Ba 0.000 0.000 0.000 [4 per cell]
Li 0.250 0.250 0.250 [8 per cell]
Ta 0.000 0.000 0.500 [4 per cell]


Entry 5:
A geometry-optimized BaLiTa2 structure. Source: Alexandria via LeMat-Bulk, functional PBE.

Total magnetic moment ... 0.00 μB/cell
Polymorph energy (0 for the lowest one) ... 445 meV per atom
Raw total energy ... -47.0 eV for the cell shown
Formation energy ... 1.01 eV per atom

Unit cell a=3.104 b=6.086 c=11.152 alpha=90.00 beta=90.00 gamma=90.00
Space group Imm2 (No. 44)
Unique sites:
Ba 0.000 0.000 0.000 [2 per cell]
Li 0.000 0.500 0.215 [2 per cell]
Ta 0.000 0.000 0.476 [2 per cell]
Ta 0.000 0.500 0.789 [2 per cell]


Entry 6:
A geometry-optimized BaLiTa3 structure. Source: Alexandria via LeMat-Bulk, functional PBE.

Total magnetic moment ... 0.00 μB/cell
Polymorph energy (0 for the lowest one) ... 1185 meV per atom
Raw total energy ... -25.3 eV for the cell shown
Formation energy ... 2.83 eV per atom

Unit cell a=5.119 b=5.119 c=5.119 alpha=90.00 beta=90.00 gamma=90.00
Space group Pm-3m (No. 221)
Unique sites:
Ba 0.000 0.000 0.000 [1 per cell]
Li 0.500 0.500 0.500 [1 per cell]
Ta 0.000 0.000 0.500 [3 per cell]